No. 1
The following is a GGA-PBE calculation of a relaxed Bi2PtW crystal, from Alexandria.

Cell and atoms, written as POSCAR:
```
Bi2PtW
1.0
0.0000 3.5005 3.5005
3.5005 0.0000 3.5005
3.5005 3.5005 0.0000
Bi Pt W
2 1 1
Cartesian
1.7503 1.7503 1.7503
5.2508 5.2508 5.2508
0.0000 0.0000 0.0000
3.5005 3.5005 3.5005
```

Computed properties:
Polymorph energy (0 for the lowest one) in meV per atom: 0
Formation energy in eV/atom: 0.758
N(E_F) in states/eV/f.u.: 3.59

No. 2
The following is a GGA-PBE calculation of a relaxed Ni2TePb4 crystal, from Alexandria.

Cell and atoms, written as POSCAR:
```
Ni2TePb4
1.0
-2.9482 2.9482 6.6560
2.9482 -2.9482 6.6560
2.9482 2.9482 -6.6560
Ni Te Pb
2 1 4
Cartesian
0.0000 0.0000 1.1123
0.0000 0.0000 12.1996
0.0000 0.0000 6.6560
2.9482 0.0000 0.0000
0.0000 0.0000 3.5810
0.0000 2.9482 0.0000
0.0000 0.0000 9.7310
```

Computed properties:
Formation energy (no corrections) in meV per atom: 594
N(E_F) in states/eV/f.u.: 4.57

No. 3
The following is a GGA-PBE calculation of a relaxed Hf2NbRh2 crystal, from Alexandria.

Cell and atoms, written as POSCAR:
```
Hf2NbRh2
1.0
7.7543 0.0000 0.0000
0.0000 7.7543 0.0000
0.0000 0.0000 3.0116
Hf Nb Rh
4 2 4
Cartesian
1.1955 2.6816 0.0000
2.6816 6.5587 0.0000
5.0727 1.1955 0.0000
6.5587 5.0727 0.0000
0.0000 0.0000 0.0000
3.8771 3.8771 0.0000
1.1266 5.0037 1.5058
2.7506 1.1266 1.5058
5.0037 6.6277 1.5058
6.6277 2.7506 1.5058
```

Computed properties:
Polymorph energy (0 for the lowest one) in meV per atom: 81
Formation energy in eV/atom: -0.422
N(E_F) in states/eV/f.u.: 5.40

No. 4
The following is a GGA-PBE calculation of a relaxed Al2TeP crystal, from Alexandria.

Cell and atoms, written as POSCAR:
```
Al2TeP
1.0
3.4540 0.0000 0.0000
0.0000 4.6446 0.0000
0.0000 0.0000 4.8962
Al Te P
2 1 1
Cartesian
0.0000 0.0000 0.0000
1.7270 0.0000 2.4481
0.0000 2.3223 2.4481
1.7270 2.3223 0.0000
```

Computed properties:
Polymorph energy (0 for the lowest one) in meV per atom: 641
Formation energy (no corrections) in meV per atom: 362
N(E_F) in states/eV/f.u.: 1.65